{
  "formula": "MnZnI3",
  "functional": "GGA-PBE",
  "state": "optimized geometry",
  "polymorph_energy_mev_per_atom": 0.0,
  "raw_formation_energy_kj_per_mol_fu": 108,
  "e_tot_ev_per_atom": -2.80,
  "lattice_angstrom": [[5.6051, 0.0000, 0.0000], [0.0000, 5.6051, 0.0000], [0.0000, 0.0000, 5.6051]],
  "species": ["Mn", "Zn", "I", "I", "I"],
  "fractional_positions": [[0.0000, 0.0000, 0.0000], [0.5000, 0.5000, 0.5000], [0.0000, 0.5000, 0.5000], [0.5000, 0.0000, 0.5000], [0.5000, 0.5000, 0.0000]]
}